[1]
The following is a GGA-PBE calculation of a geometry-optimized HfCo structure, from OQMD via LeMat-Bulk.

a b c (Å): 4.269 4.269 5.078
angles (deg): 90.00 90.00 120.00
Positions (direct):
Co: 0.000 0.000 0.937
Co: 0.333 0.667 0.437
Hf: 0.333 0.667 0.938
Hf: 0.000 0.000 0.438

Output
The calculation puts the formation energy at 0.36 eV/atom.

[2]
The following is a GGA-PBE calculation of a geometry-optimized NaTcO4 structure, from OQMD via LeMat-Bulk.

a b c (Å): 6.146 6.146 6.146
angles (deg): 112.00 112.00 104.52
Positions (direct):
O: 0.231 0.029 0.202
O: 0.779 0.077 0.298
O: 0.779 0.481 0.702
O: 0.302 0.506 0.204
O: 0.302 0.099 0.796
O: 0.849 0.552 0.296
O: 0.827 0.029 0.798
O: 0.256 0.552 0.704
Tc: 0.916 0.416 0.500
Tc: 0.166 0.166 0.000
Na: 0.671 0.671 0.000
Na: 0.421 0.921 0.500

Output
The calculation puts the relative energy among the computed polymorphs at 22 meV per atom.

[3]
The following is a GGA-PBE calculation of a geometry-optimized ZrNbZnNi structure, from OQMD via LeMat-Bulk.

a b c (Å): 4.557 4.557 4.557
angles (deg): 60.00 60.00 60.00
Positions (direct):
Ni: 0.750 0.750 0.750
Zn: 0.000 0.000 0.000
Zr: 0.500 0.500 0.500
Nb: 0.250 0.250 0.250

Output
The calculation puts the formation energy at 0.14 eV/atom.